# 1
This record from Alexandria via LeMat-Bulk describes a relaxed structure of In2SbW. The functional is PBE.

a = 3.2517 Å, b = 3.2517 Å, c = 8.8968 Å
α = 90.00°, β = 90.00°, γ = 90.00°
Last column: nearest neighbours and their distance in Å.
Positions (direct):
Sb: 0.0000 0.0000 0.5605  4 W 2.81
In: 0.5000 0.5000 0.2447  8 In 3.25-3.46, 4 Sb 3.63
In: 0.0000 0.0000 0.9534  4 W 2.97, 4 In 3.25
W: 0.5000 0.5000 0.7414  4 Sb 2.81, 4 In 2.97

The calculation puts the theoretical density at 9.448 g cm⁻³. The value obtained for the formation energy without anion corrections is 1.59 eV/f.u. The calculation puts the size of the total moment at 0.000 μB/atom. The calculation puts the total energy at -5.239 eV per atom.

# 2
This record from Alexandria via LeMat-Bulk describes a relaxed structure of Na4Cl3F. The functional is PBE.

a = 5.5174 Å, b = 5.5174 Å, c = 5.5174 Å
α = 90.00°, β = 90.00°, γ = 90.00°
Last column: nearest neighbours and their distance in Å.
Positions (direct):
Cl: 0.5000 0.5000 0.0000  6 Na 2.76
Cl: 0.5000 0.0000 0.5000  6 Na 2.76
Cl: 0.0000 0.5000 0.5000  6 Na 2.76
F: 0.0000 0.0000 0.0000  6 Na 2.76
Na: 0.0000 0.5000 0.0000  4 Cl 2.76, 2 F 2.76
Na: 0.5000 0.0000 0.0000  4 Cl 2.76, 2 F 2.76
Na: 0.5000 0.5000 0.5000  6 Cl 2.76
Na: 0.0000 0.0000 0.5000  2 F 2.76, 4 Cl 2.76

The polymorph energy (0 for the lowest one) comes out at 15.7 meV per atom. The calculation puts the theoretical density at 2.149 g cm⁻³. The value obtained for the formation energy without anion corrections is -15.67 eV/f.u. The calculation puts the size of the total moment at 0.017 μB/atom. The calculation puts the total energy at -3.544 eV per atom.

# 3
This record from Alexandria via LeMat-Bulk describes a relaxed structure of LiAgAu3. The functional is PBE.

a = 4.5052 Å, b = 4.5052 Å, c = 4.5052 Å
α = 90.00°, β = 90.00°, γ = 90.00°
Last column: nearest neighbours and their distance in Å.
Positions (direct):
Au: 0.0000 0.0000 0.5000  2 Li 2.25
Au: 0.5000 0.0000 0.0000  2 Li 2.25
Au: 0.0000 0.5000 0.0000  2 Li 2.25
Ag: 0.5000 0.5000 0.5000  12 Au 3.19
Li: 0.0000 0.0000 0.0000  6 Au 2.25

The polymorph energy (0 for the lowest one) comes out at 510.9 meV per atom. The calculation puts the theoretical density at 12.815 g cm⁻³. The calculated formation energy comes out at 255 meV per atom. The calculation puts the size of the total moment at 0.000 μB/atom. The calculation puts the total energy at -2.664 eV per atom.

# 4
This record from Alexandria via LeMat-Bulk describes a relaxed structure of CsGa2Ge. The functional is PBE.

a = 5.1367 Å, b = 5.1367 Å, c = 10.3776 Å
α = 90.00°, β = 90.00°, γ = 90.00°
Last column: nearest neighbours and their distance in Å.
Positions (direct):
Ga: 0.0000 0.0000 0.5000  4 Ge 2.72
Ga: 0.5000 0.5000 0.5000  4 Ge 2.72
Ga: 0.5000 0.0000 0.8236  1 Ge 2.47
Ga: 0.0000 0.5000 0.1764  1 Ge 2.47
Cs: 0.0000 0.5000 0.7964  9 Ga 3.64-4.01, 1 Ge 3.96
Cs: 0.5000 0.0000 0.2036  9 Ga 3.64-4.01, 1 Ge 3.96
Ge: 0.0000 0.5000 0.4148  5 Ga 2.47-2.72
Ge: 0.5000 0.0000 0.5852  5 Ga 2.47-2.72

The calculation puts the theoretical density at 4.184 g cm⁻³. The calculated formation energy comes out at 93 meV per atom. The calculation puts the size of the total moment at 0.000 μB/atom. The calculation puts the total energy at -2.788 eV per atom.

Please write out number 2 again, unchanged.
This record from Alexandria via LeMat-Bulk describes a relaxed structure of Na4Cl3F. The functional is PBE.

a = 5.5174 Å, b = 5.5174 Å, c = 5.5174 Å
α = 90.00°, β = 90.00°, γ = 90.00°
Last column: nearest neighbours and their distance in Å.
Positions (direct):
Cl: 0.5000 0.5000 0.0000  6 Na 2.76
Cl: 0.5000 0.0000 0.5000  6 Na 2.76
Cl: 0.0000 0.5000 0.5000  6 Na 2.76
F: 0.0000 0.0000 0.0000  6 Na 2.76
Na: 0.0000 0.5000 0.0000  4 Cl 2.76, 2 F 2.76
Na: 0.5000 0.0000 0.0000  4 Cl 2.76, 2 F 2.76
Na: 0.5000 0.5000 0.5000  6 Cl 2.76
Na: 0.0000 0.0000 0.5000  2 F 2.76, 4 Cl 2.76

The polymorph energy (0 for the lowest one) comes out at 15.7 meV per atom. The calculation puts the theoretical density at 2.149 g cm⁻³. The value obtained for the formation energy without anion corrections is -15.67 eV/f.u. The calculation puts the size of the total moment at 0.017 μB/atom. The calculation puts the total energy at -3.544 eV per atom.